A plane-wave DFT calculation with PBE-GGA was carried out for a relaxed K3NaF crystal.

- raw total energy (eV per atom) = -2.29
- density of states at the Fermi level (states/eV per atom) = 0.533
- calculated volume (Å³/cell) = 195.1
- formation energy without anion corrections (meV per atom) = -998

a b c (Å): 5.800 5.800 5.800
angles (deg): 90.00 90.00 90.00
Space group Pm-3m (No. 221)
Symmetry-distinct sites (fractional):
K (0.000, 0.000, 0.500)
Na (0.500, 0.500, 0.500)
F (0.000, 0.000, 0.000)